VASP calculation (GGA-PBEsol) on a relaxed structure of FePdSeBr2.

The formation energy from raw total energies is 3.00 eV/f.u. For the density of states at the Fermi level, the calculation gives 5.3 states/eV/f.u.

The space group is P4/mmm (No. 123) and the conventional cell measures 4.923, 4.923 and 4.998 Å, with angles of 90.00, 90.00 and 90.00 degrees. The asymmetric unit holds Fe at (0.000, 0.000, 0.000), Pd at (0.500, 0.500, 0.500), Se at (0.500, 0.500, 0.000) and Br at (0.000, 0.500, 0.500).

VASP calculation (GGA-PBEsol) on a relaxed structure of Pb3I2Cl4O6.

The formation energy from raw total energies is -12.12 eV/f.u. For the density of states at the Fermi level, the calculation gives 0.0 states/eV/f.u.

The space group is C2/c (No. 15) and the conventional cell measures 15.297, 7.331 and 11.879 Å, with angles of 90.00, 118.65 and 90.00 degrees. The asymmetric unit holds Pb at (0.000, 0.177, 0.250), Pb at (0.197, 0.138, 0.676), I at (0.052, 0.292, 0.968), Cl at (0.121, 0.448, 0.771), Cl at (0.206, 0.052, 0.395), O at (0.006, 0.083, 0.622), O at (0.042, 0.326, 0.478) and O at (0.151, 0.194, 0.117).

VASP calculation (GGA-PBEsol) on a relaxed structure of TiCdMo2W.

The energy of formation from the pure elements is 1.574 eV/atom. For the density of states at the Fermi level, the calculation gives 4.0 states/eV/f.u.

The space group is P4/mmm (No. 123) and the conventional cell measures 4.517, 4.517 and 4.589 Å, with angles of 90.00, 90.00 and 90.00 degrees. The asymmetric unit holds Ti at (0.000, 0.000, 0.000), Cd at (0.500, 0.500, 0.500), Mo at (0.000, 0.500, 0.000) and W at (0.000, 0.000, 0.500).

VASP calculation (GGA-PBEsol) on a relaxed structure of TiTc3Pb.

The energy of formation from the pure elements is 2.517 eV/atom. For the density of states at the Fermi level, the calculation gives 8.1 states/eV/f.u.

The space group is Pm-3m (No. 221) and the conventional cell measures 4.829, 4.829 and 4.829 Å, with angles of 90.00, 90.00 and 90.00 degrees. The asymmetric unit holds Ti at (0.000, 0.000, 0.000), Tc at (0.000, 0.500, 0.500) and Pb at (0.500, 0.500, 0.500).

| no. | electronic total energy (eV/atom) |
| --- | --- |
| 1 | -3.9029 |
| 2 | -4.4787 |
| 3 | -7.7985 |
| 4 | -6.7072 |